# BaAlAgH6

A relaxed BaAlAgH6 crystal (PBE-GGA, Alexandria via LeMat-Bulk).

abc: 5.1146 5.1146 5.2891
angles: 90.00 90.00 120.00
Space group P312 (No. 149)
Asymmetric unit:
Ba: 0.0000 0.0000 0.0000 x1
Al: 0.6667 0.3333 0.5000 x1
Ag: 0.3333 0.6667 0.5000 x1
H: 0.4084 0.0399 0.7004 x6

## Properties
**Raw total energy**: -3.28 eV per atom
**Calculated volume**: 13.315 Å³ per atom

=====

# MgTcBi2Pt

A relaxed MgTcBi2Pt crystal (PBE-GGA, Alexandria via LeMat-Bulk).

abc: 5.2284 5.2284 4.7013
angles: 90.00 90.00 90.00
Space group P4/mmm (No. 123)
Asymmetric unit:
Mg: 0.0000 0.0000 0.0000 x1
Tc: 0.0000 0.0000 0.5000 x1
Bi: 0.0000 0.5000 0.0000 x2
Pt: 0.5000 0.5000 0.5000 x1

## Properties
**Raw total energy**: -3.83 eV per atom
**DOS(E_F)**: 3.207 states/eV per cell
**ΔE_f**: 127.6 kJ/mol of atoms
**Calculated volume**: 25.703 Å³ per atom

=====

# Pa2SnSb

A relaxed Pa2SnSb crystal (PBE-GGA, Alexandria via LeMat-Bulk).

abc: 5.6190 5.6190 3.2872
angles: 90.00 90.00 90.00
Space group P4/mmm (No. 123)
Asymmetric unit:
Pa: 0.0000 0.5000 0.0000 x2
Sn: 0.0000 0.0000 0.5000 x1
Sb: 0.5000 0.5000 0.5000 x1

## Properties
**Raw total energy**: -7.06 eV per atom
**DOS(E_F)**: 7.652 states/eV per cell
**E_form (uncorrected)**: -1.14 eV per formula unit
**Calculated volume**: 25.947 Å³ per atom

=====

# AcDy3Ho

A relaxed AcDy3Ho crystal (PBE-GGA, Alexandria via LeMat-Bulk).

abc: 4.8926 8.5810 9.4562
angles: 68.70 75.03 90.00
Space group P-1 (No. 2)
Asymmetric unit:
Ac: 0.1153 0.1485 0.2699 x2
Dy: 0.0565 0.6979 0.3870 x2
Dy: 0.2270 0.6280 0.0462 x2
Dy: 0.4149 0.5535 0.6701 x2
Ho: 0.3115 0.1108 0.8771 x2

## Properties
**Raw total energy**: -4.34 eV per atom
**DOS(E_F)**: 15.231 states/eV per cell
**ΔE_f**: 15.2 kJ/mol of atoms
**Calculated volume**: 35.539 Å³ per atom

=====

# LiSi3C

A relaxed LiSi3C crystal (PBE-GGA, Alexandria via LeMat-Bulk).

abc: 4.2113 4.2113 4.2113
angles: 90.00 90.00 90.00
Space group Pm-3m (No. 221)
Asymmetric unit:
Li: 0.0000 0.0000 0.0000 x1
Si: 0.0000 0.0000 0.5000 x3
C: 0.5000 0.5000 0.5000 x1

## Properties
**Raw total energy**: -3.57 eV per atom
**DOS(E_F)**: 3.691 states/eV per cell
**E_form (uncorrected)**: 9.54 eV per formula unit
**Calculated volume**: 14.937 Å³ per atom

=====

# La6Tb3Er

A relaxed La6Tb3Er crystal (PBE-GGA, Alexandria via LeMat-Bulk).

abc: 6.0355 9.7322 13.4565
angles: 90.00 116.28 90.00
Space group P2_1/c (No. 14)
Asymmetric unit:
La: 0.0932 0.1496 0.0947 x4
La: 0.3126 0.0478 0.7493 x4
La: 0.4051 0.1524 0.4067 x4
Tb: 0.0000 0.0000 0.5000 x2
Tb: 0.2067 0.6982 0.7492 x4
Er: 0.5000 0.0000 0.0000 x2

## Properties
**Raw total energy**: -4.62 eV per atom
**DOS(E_F)**: 25.471 states/eV per cell
**ΔE_f**: 17.3 kJ/mol of atoms
**Calculated volume**: 35.436 Å³ per atom

=====

# Ba2Al2CdSb4

A relaxed Ba2Al2CdSb4 crystal (PBE-GGA, Alexandria via LeMat-Bulk).

abc: 17.3579 4.5496 7.8261
angles: 90.00 110.82 90.00
Space group C2/m (No. 12)
Asymmetric unit:
Ba: 0.1280 0.0000 0.0562 x4
Al: 0.1699 0.5000 0.4773 x4
Cd: 0.0000 0.0000 0.5000 x2
Sb: 0.0104 0.5000 0.2515 x4
Sb: 0.2103 0.0000 0.6898 x4

## Properties
**Raw total energy**: -3.69 eV per atom
**DOS(E_F)**: 3.334 states/eV per cell
**E_form (uncorrected)**: -4.43 eV per formula unit
**Calculated volume**: 32.093 Å³ per atom

=====

# Zn3CuAu

A relaxed Zn3CuAu crystal (PBE-GGA, Alexandria via LeMat-Bulk).

abc: 4.5771 4.5771 4.5771
angles: 90.00 90.00 90.00
Space group Pm-3m (No. 221)
Asymmetric unit:
Zn: 0.0000 0.0000 0.5000 x3
Cu: 0.0000 0.0000 0.0000 x1
Au: 0.5000 0.5000 0.5000 x1

## Properties
**Raw total energy**: -1.92 eV per atom
**DOS(E_F)**: 1.409 states/eV per cell
**ΔE_f**: 30.7 kJ/mol of atoms
**Calculated volume**: 19.178 Å³ per atom

=====

# Tb12Th5Sc

A relaxed Tb12Th5Sc crystal (PBE-GGA, Alexandria via LeMat-Bulk).

abc: 15.0348 15.0562 5.0407
angles: 90.00 90.00 90.00
Space group Cmmm (No. 65)
Asymmetric unit:
Tb: 0.0000 0.1607 0.0000 x4
Tb: 0.0000 0.3351 0.5000 x4
Tb: 0.1637 0.3387 0.0000 x8
Tb: 0.1681 0.1616 0.5000 x8
Th: 0.0000 0.0000 0.5000 x2
Th: 0.1624 0.5000 0.5000 x4
Th: 0.1696 0.0000 0.0000 x4
Sc: 0.0000 0.5000 0.0000 x2

## Properties
**Raw total energy**: -5.47 eV per atom
**DOS(E_F)**: 51.615 states/eV per cell
**ΔE_f**: 2.9 kJ/mol of atoms
**Calculated volume**: 31.696 Å³ per atom

=====

# ScSb2Ir

A relaxed ScSb2Ir crystal (PBE-GGA, Alexandria via LeMat-Bulk).

abc: 4.7281 4.2405 4.7521
angles: 90.00 104.60 90.00
Space group P2/m (No. 10)
Asymmetric unit:
Sc: 0.0000 0.0000 0.0000 x1
Sb: 0.2897 0.5000 0.7113 x2
Ir: 0.5000 0.0000 0.5000 x1

## Properties
**Raw total energy**: -6.21 eV per atom
**DOS(E_F)**: 0.918 states/eV per cell
**E_form (uncorrected)**: -1.40 eV per formula unit
**Calculated volume**: 23.050 Å³ per atom

=====

# LaTaMoOs2

A relaxed LaTaMoOs2 crystal (PBE-GGA, Alexandria via LeMat-Bulk).

abc: 4.7337 4.7337 4.7361
angles: 90.00 90.00 90.00
Space group P4/mmm (No. 123)
Asymmetric unit:
La: 0.0000 0.0000 0.0000 x1
Ta: 0.5000 0.5000 0.5000 x1
Mo: 0.0000 0.0000 0.5000 x1
Os: 0.0000 0.5000 0.0000 x2

## Properties
**Raw total energy**: -7.46 eV per atom
**DOS(E_F)**: 4.614 states/eV per cell
**ΔE_f**: 246.5 kJ/mol of atoms
**Calculated volume**: 21.225 Å³ per atom

=====

# La6PmRh4

A relaxed La6PmRh4 crystal (PBE-GGA, Alexandria via LeMat-Bulk).

abc: 6.1605 6.1814 8.9108
angles: 102.68 109.25 93.89
Space group P1 (No. 1)
Asymmetric unit:
La: 0.0000 0.0000 0.0000 x1
La: 0.0527 0.0859 0.6076 x1
La: 0.3316 0.5266 0.9846 x1
La: 0.4356 0.9561 0.3612 x1
La: 0.6115 0.5564 0.6430 x1
La: 0.9368 0.4816 0.3203 x1
Pm: 0.4863 0.0310 0.9668 x1
Rh: 0.1382 0.6412 0.6886 x1
Rh: 0.4126 0.4005 0.2705 x1
Rh: 0.6209 0.0819 0.6959 x1
Rh: 0.8598 0.9520 0.2643 x1

## Properties
**Raw total energy**: -6.27 eV per atom
**DOS(E_F)**: 8.956 states/eV per cell
**ΔE_f**: -45.6 kJ/mol of atoms
**Calculated volume**: 28.082 Å³ per atom

=====

# LiPmSbH

A relaxed LiPmSbH crystal (PBE-GGA, Alexandria via LeMat-Bulk).

abc: 4.2509 4.2509 8.3958
angles: 90.00 90.00 90.00
Space group P4/nmm (No. 129, origin choice 2)
Asymmetric unit:
Li: 0.2500 0.7500 0.0000 x2
Pm: 0.2500 0.2500 0.3713 x2
Sb: 0.2500 0.2500 0.7854 x2
H: 0.2500 0.7500 0.5000 x2

## Properties
**Raw total energy**: -4.37 eV per atom
**DOS(E_F)**: 0.114 states/eV per cell
**Calculated volume**: 18.964 Å³ per atom

=====

# Tb2Al4SiPt3

A relaxed Tb2Al4SiPt3 crystal (PBE-GGA, Alexandria via LeMat-Bulk).

abc: 4.1635 4.1635 10.6678
angles: 90.00 90.00 90.00
Space group P-4m2 (No. 115)
Asymmetric unit:
Tb: 0.0000 0.5000 0.2480 x2
Al: 0.0000 0.0000 0.5000 x1
Al: 0.0000 0.5000 0.8638 x2
Al: 0.5000 0.5000 0.5000 x1
Si: 0.5000 0.5000 0.0000 x1
Pt: 0.0000 0.0000 0.0000 x1
Pt: 0.0000 0.5000 0.6348 x2

## Properties
**Raw total energy**: -5.75 eV per atom
**DOS(E_F)**: 6.880 states/eV per cell
**E_form (uncorrected)**: -9.72 eV per formula unit
**Calculated volume**: 18.493 Å³ per atom

=====

# Tl3HW

A relaxed Tl3HW crystal (PBE-GGA, Alexandria via LeMat-Bulk).

abc: 5.4215 5.4215 5.4215
angles: 90.00 90.00 90.00
Space group Pm-3m (No. 221)
Asymmetric unit:
Tl: 0.0000 0.0000 0.5000 x3
H: 0.5000 0.5000 0.5000 x1
W: 0.0000 0.0000 0.0000 x1

## Properties
**Raw total energy**: -3.52 eV per atom
**DOS(E_F)**: 3.267 states/eV per cell
**Calculated volume**: 31.871 Å³ per atom

=====

# Ce2BiSe

A relaxed Ce2BiSe crystal (PBE-GGA, Alexandria via LeMat-Bulk).

abc: 4.3819 4.3819 21.6932
angles: 90.00 90.00 120.00
Space group R-3m (No. 166, hexagonal axes)
Asymmetric unit:
Ce: 0.0000 0.0000 0.2417 x6
Bi: 0.0000 0.0000 0.0000 x3
Se: 0.0000 0.0000 0.5000 x3

## Properties
**Raw total energy**: -6.09 eV per atom
**DOS(E_F)**: 40.491 states/eV per cell
**E_form (uncorrected)**: -5.11 eV per formula unit
**Calculated volume**: 30.060 Å³ per atom

=====

# HfMg6SiO8

A relaxed HfMg6SiO8 crystal (PBE-GGA, Alexandria via LeMat-Bulk).

abc: 4.2686 4.2686 9.5967
angles: 90.00 90.00 90.00
Space group P4/mmm (No. 123)
Asymmetric unit:
Hf: 0.0000 0.0000 0.0000 x1
Mg: 0.0000 0.0000 0.5000 x1
Mg: 0.0000 0.5000 0.2686 x4
Mg: 0.5000 0.5000 0.5000 x1
Si: 0.5000 0.5000 0.0000 x1
O: 0.0000 0.0000 0.2423 x2
O: 0.0000 0.5000 0.0000 x2
O: 0.0000 0.5000 0.5000 x2
O: 0.5000 0.5000 0.2917 x2

## Properties
**Raw total energy**: -6.23 eV per atom
**DOS(E_F)**: 2.740 states/eV per cell
**E_form (uncorrected)**: -35.12 eV per formula unit
**Calculated volume**: 10.929 Å³ per atom

=====

# PmUIr2

A relaxed PmUIr2 crystal (PBE-GGA, Alexandria via LeMat-Bulk).

abc: 3.4339 3.4339 7.1641
angles: 90.00 90.00 90.00
Space group P4/mmm (No. 123)
Asymmetric unit:
Pm: 0.0000 0.0000 0.0000 x1
U: 0.0000 0.0000 0.5000 x1
Ir: 0.5000 0.5000 0.2854 x2

## Properties
**Raw total energy**: -8.98 eV per atom
**DOS(E_F)**: 4.931 states/eV per cell
**ΔE_f**: -52.1 kJ/mol of atoms
**Calculated volume**: 21.119 Å³ per atom

=====

# BaScTe2

A relaxed BaScTe2 crystal (PBE-GGA, Alexandria via LeMat-Bulk).

abc: 3.8872 3.8872 8.0793
angles: 90.00 90.00 90.00
Space group P4/mmm (No. 123)
Asymmetric unit:
Ba: 0.0000 0.0000 0.0000 x1
Sc: 0.0000 0.0000 0.5000 x1
Te: 0.5000 0.5000 0.2858 x2

## Properties
**Raw total energy**: -4.76 eV per atom
**DOS(E_F)**: 2.303 states/eV per cell
**E_form (uncorrected)**: -4.49 eV per formula unit
**Calculated volume**: 30.520 Å³ per atom

=====

# Mg2ZrTa

A relaxed Mg2ZrTa crystal (PBE-GGA, Alexandria via LeMat-Bulk).

abc: 5.0451 5.0451 3.1625
angles: 90.00 90.00 90.00
Space group P4/mmm (No. 123)
Asymmetric unit:
Mg: 0.0000 0.5000 0.0000 x2
Zr: 0.0000 0.0000 0.5000 x1
Ta: 0.5000 0.5000 0.5000 x1

## Properties
**Raw total energy**: -5.50 eV per atom
**DOS(E_F)**: 3.368 states/eV per cell
**ΔE_f**: 37.9 kJ/mol of atoms
**Calculated volume**: 20.124 Å³ per atom